# 1
Here is a relaxed AsRh2Se crystal from Alexandria via LeMat-Bulk. Energies are from PBE-GGA.

Summary:
formation energy (no corrections)	-0.049	eV/atom
density	9.578	g/cm3
total moment	0.00	Bohr magnetons per cell
V	124.7	Å³ per cell
energy above the lowest structure with this stoichiometry	324	meV/atom

a b c (Å): 6.328 6.336 3.110
angles (deg): 90.00 90.00 90.00
Space group Cmmm (No. 65)
Asymmetric unit:
As (0.000, 0.000, 0.000) x2
Rh (0.250, 0.250, 0.500) x4
Se (0.000, 0.500, 0.000) x2

# 2
Here is a relaxed KNa2NpF6 crystal from Alexandria via LeMat-Bulk. Energies are from PBE-GGA.

Summary:
formation energy (no corrections)	-3.016	eV/atom
density	4.169	g/cm3
total moment	12.00	Bohr magnetons per cell
V	521.1	Å³ per cell

a b c (Å): 6.1143 6.1143 16.0948
angles (deg): 90.00 90.00 120.00
Space group R3 (No. 146, hexagonal axes)
Asymmetric unit:
K (0.0000, 0.0000, 0.0000) x3
Na (0.0000, 0.0000, 0.2765) x3
Na (0.0000, 0.0000, 0.7862) x3
Np (0.0000, 0.0000, 0.4868) x3
F (0.0041, 0.6858, 0.8791) x9
F (0.0366, 0.4206, 0.0563) x9

# 3
Here is a relaxed Ho2TmAu4 crystal from Alexandria via LeMat-Bulk. Energies are from PBE-GGA.

Summary:
density	10.571	g/cm3
total moment	0.00	Bohr magnetons per cell
V	404.2	Å³ per cell
DFT formation energy	-6.30	kcal/mol of atoms
energy above the lowest structure with this stoichiometry	457	meV/atom

a b c (Å): 5.253 5.253 14.651
angles (deg): 90.00 90.00 90.00
Space group I4/mmm (No. 139)
Asymmetric unit:
Ho (0.000, 0.000, 0.116) x4
Tm (0.000, 0.000, 0.500) x2
Au (0.000, 0.000, 0.309) x4
Au (0.000, 0.500, 0.000) x4

# 4
Here is a relaxed FeGePd5 crystal from Alexandria via LeMat-Bulk. Energies are from PBE-GGA.

Summary:
density	9.382	g/cm3
total moment	16.11	Bohr magnetons per cell
V	467.7	Å³ per cell
DFT formation energy	-0.83	kcal/mol of atoms

a b c (Å): 6.124 7.049 10.833
angles (deg): 90.00 90.00 90.00
Space group Imma (No. 74)
Asymmetric unit:
Fe (0.000, 0.250, 0.229) x4
Ge (0.250, 0.250, 0.750) x4
Pd (0.000, 0.250, 0.952) x4
Pd (0.225, 0.041, 0.381) x16

# 5
Here is a relaxed TeAsO2 crystal from Alexandria via LeMat-Bulk. Energies are from PBE-GGA.

Summary:
formation energy (no corrections)	-0.288	eV/atom
density	5.048	g/cm3
total moment	0.00	Bohr magnetons per cell
V	617.1	Å³ per cell
energy above the lowest structure with this stoichiometry	153	meV/atom

a b c (Å): 8.514 8.514 8.514
angles (deg): 90.00 90.00 90.00
Space group Fd-3m (No. 227, origin choice 2)
Asymmetric unit:
Te (0.125, 0.125, 0.125) x8
As (0.125, 0.125, 0.625) x8
O (0.000, 0.000, 0.500) x16

# 6
Here is a relaxed LiVGa2Hg crystal from Alexandria via LeMat-Bulk. Energies are from PBE-GGA.

Summary:
density	4.901	g/cm3
total moment	0.13	Bohr magnetons per cell
V	134.8	Å³ per cell
DFT formation energy	23.75	kcal/mol of atoms

a b c (Å): 5.085 5.085 5.213
angles (deg): 90.00 90.00 90.00
Space group P4/mmm (No. 123)
Asymmetric unit:
Li (0.000, 0.000, 0.000) x1
V (0.500, 0.500, 0.000) x1
Ga (0.000, 0.500, 0.500) x2
Hg (0.500, 0.500, 0.500) x1

Question: What is the V in the sixth record?
Answer: 134.8 Å³ per cell